[1]
Entry from Alexandria: a crystal of HgW2Au relaxed with PBEsol (meta-GGA SCAN).

Computed properties:
VASP energy	-68.501	eV per atom
E_form	0.67	eV per atom

a b c (Å): 2.8435 2.8435 28.6561
angles (deg): 90.00 90.00 120.00
Closest atoms and distances in Å follow each position.
Positions (direct):
1 Hg 0.0000 0.0000 0.0000  6 Hg 2.84, 6 W 2.95
2 Hg 0.3333 0.6667 0.6667  6 Hg 2.84, 6 W 2.95
3 Hg 0.6667 0.3333 0.3333  6 Hg 2.84, 6 W 2.95
4 W 0.0000 0.0000 0.2478  6 W 2.84, 3 Au 2.85, 3 Hg 2.95
5 W 0.0000 0.0000 0.7522  6 W 2.84, 3 Au 2.85, 3 Hg 2.95
6 W 0.3333 0.6667 0.4189  6 W 2.84, 3 Au 2.85, 3 Hg 2.95
7 W 0.3333 0.6667 0.9144  6 W 2.84, 3 Au 2.85, 3 Hg 2.95
8 W 0.6667 0.3333 0.0856  6 W 2.84, 3 Au 2.85, 3 Hg 2.95
9 W 0.6667 0.3333 0.5811  6 W 2.84, 3 Au 2.85, 3 Hg 2.95
10 Au 0.0000 0.0000 0.5000  6 Au 2.84, 6 W 2.85
11 Au 0.3333 0.6667 0.1667  6 Au 2.84, 6 W 2.85
12 Au 0.6667 0.3333 0.8333  6 Au 2.84, 6 W 2.85

[2]
Entry from Alexandria: a crystal of Sr3GaCu relaxed with PBEsol (meta-GGA SCAN).

Computed properties:
VASP energy	-19.391	eV per atom
E_form	0.28	eV per atom

a b c (Å): 5.9751 5.9751 5.9751
angles (deg): 90.00 90.00 90.00
Closest atoms and distances in Å follow each position.
Positions (direct):
1 Sr 0.0000 0.0000 0.5000  2 Ga 2.99
2 Sr 0.0000 0.5000 0.0000  2 Ga 2.99
3 Sr 0.5000 0.0000 0.0000  2 Ga 2.99
4 Ga 0.0000 0.0000 0.0000  6 Sr 2.99
5 Cu 0.5000 0.5000 0.5000  12 Sr 4.23

[3]
Entry from Alexandria: a crystal of CaUSe2O8 relaxed with PBEsol (meta-GGA SCAN).

Computed properties:
formation energy (no corrections)	-2.185	eV per atom
VASP energy	-19.118	eV per atom

a b c (Å): 5.5188 6.6467 11.0009
angles (deg): 103.53 92.92 111.15
Closest atoms and distances in Å follow each position.
Positions (direct):
1 Ca 0.1711 0.2451 0.4340  6 O 2.32-2.45
2 Ca 0.8289 0.7549 0.5660  6 O 2.32-2.45
3 U 0.3308 0.7424 0.8333  2 O 1.81-1.84
4 U 0.6692 0.2576 0.1667  2 O 1.81-1.84
5 Se 0.1782 0.1871 0.8759  3 O 1.71-1.75
6 Se 0.2405 0.7038 0.3487  3 O 1.69-1.80
7 Se 0.7595 0.2962 0.6513  3 O 1.69-1.80
8 Se 0.8218 0.8129 0.1241  3 O 1.71-1.75
9 O 0.0405 0.6500 0.9084  1 U 1.81
10 O 0.0601 0.5246 0.6523  1 Se 1.80
11 O 0.1755 0.9020 0.4539  1 Se 1.70
12 O 0.1774 0.9817 0.7464  1 Se 1.73
13 O 0.3847 0.1704 0.2502  1 U 1.84
14 O 0.3864 0.1248 0.9727  1 Se 1.75
15 O 0.3877 0.4242 0.8434  1 Se 1.71
16 O 0.4323 0.6215 0.4336  1 Se 1.69
17 O 0.5677 0.3785 0.5664  1 Se 1.69
18 O 0.6123 0.5758 0.1566  1 Se 1.71
19 O 0.6136 0.8752 0.0273  1 Se 1.75
20 O 0.6153 0.8296 0.7498  1 U 1.84
21 O 0.8226 0.0183 0.2536  1 Se 1.73
22 O 0.8245 0.0980 0.5461  1 Se 1.70
23 O 0.9399 0.4754 0.3477  1 Se 1.80
24 O 0.9595 0.3500 0.0916  1 U 1.81

[4]
Entry from Alexandria: a crystal of HgAsPb2 relaxed with PBEsol (meta-GGA SCAN).

Computed properties:
VASP energy	-59.842	eV per atom
energy above the lowest structure with this stoichiometry	136	meV/atom
E_form	0.14	eV per atom

a b c (Å): 4.9909 4.9909 8.1374
angles (deg): 90.00 90.00 90.00
Closest atoms and distances in Å follow each position.
Positions (direct):
1 Hg 0.0000 0.0000 0.0000  8 Pb 3.22, 4 As 3.53
2 Hg 0.5000 0.5000 0.5000  8 Pb 3.22, 4 As 3.53
3 As 0.0000 0.0000 0.5000  8 Pb 3.22, 4 Hg 3.53
4 As 0.5000 0.5000 0.0000  8 Pb 3.22, 4 Hg 3.53
5 Pb 0.0000 0.5000 0.2500  4 Hg 3.22, 4 As 3.22, 4 Pb 3.53
6 Pb 0.0000 0.5000 0.7500  4 Hg 3.22, 4 As 3.22, 4 Pb 3.53
7 Pb 0.5000 0.0000 0.2500  4 Hg 3.22, 4 As 3.22, 4 Pb 3.53
8 Pb 0.5000 0.0000 0.7500  4 Hg 3.22, 4 As 3.22, 4 Pb 3.53

[5]
Entry from Alexandria: a crystal of Ba2TlH2 relaxed with PBEsol (meta-GGA SCAN).

Computed properties:
VASP energy	-31.992	eV per atom
energy above the lowest structure with this stoichiometry	214	meV/atom

a b c (Å): 8.1373 8.1373 3.5674
angles (deg): 90.00 90.00 90.00
Closest atoms and distances in Å follow each position.
Positions (direct):
1 Ba 0.1731 0.3269 0.0000  6 H 2.99-3.00
2 Ba 0.3269 0.8269 0.0000  6 H 2.99-3.00
3 Ba 0.6731 0.1731 0.0000  6 H 2.99-3.00
4 Ba 0.8269 0.6731 0.0000  6 H 2.99-3.00
5 Tl 0.0000 0.0000 0.5000  4 H 3.25, 8 Ba 3.50, 2 Tl 3.57
6 Tl 0.5000 0.5000 0.5000  4 H 3.25, 8 Ba 3.50, 2 Tl 3.57
7 H 0.1188 0.6188 0.5000  1 H 2.73, 6 Ba 2.99-3.00
8 H 0.3812 0.1188 0.5000  1 H 2.73, 6 Ba 2.99-3.00
9 H 0.6188 0.8812 0.5000  1 H 2.73, 6 Ba 2.99-3.00
10 H 0.8812 0.3812 0.5000  1 H 2.73, 6 Ba 2.99-3.00

[6]
Entry from Alexandria: a crystal of LaFeSb2Te relaxed with PBEsol (meta-GGA SCAN).

Computed properties:
formation energy (no corrections)	-0.309	eV per atom
VASP energy	-34.910	eV per atom

a b c (Å): 4.8431 4.8431 5.5001
angles (deg): 90.00 90.00 90.00
Closest atoms and distances in Å follow each position.
Positions (direct):
1 La 0.0000 0.0000 0.0000  4 Te 3.42, 8 Sb 3.66
2 Fe 0.5000 0.5000 0.5000  4 Sb 2.42
3 Sb 0.0000 0.5000 0.5000  2 Fe 2.42
4 Sb 0.5000 0.0000 0.5000  2 Fe 2.42
5 Te 0.5000 0.5000 0.0000  2 Fe 2.75